DFT (PBE) results for a relaxed structure of Dy3GaC.

a b c (Å): 4.854 4.854 4.854
angles (deg): 90.00 90.00 90.00
Positions (direct):
C 0.000 0.000 0.000
Dy 0.500 0.000 0.000
Dy 0.000 0.500 0.000
Dy 0.000 0.000 0.500
Ga 0.500 0.500 0.500

Properties
The total energy comes out at -28.303 eV/cell. As for the space-group type: No. 221.